No. 1
An optimized crystal structure of ThPaReOs, computed with PBE-GGA.

Final energy ... -40.5 eV for the cell shown
Energy relative to the elements ... 0.017 eV/atom
Size of the total moment ... 0.00 μB per cell
Symmetry ... No. 216

```
ThPaReOs
1.0
4.9644 0.0000 0.0000
2.4822 4.2993 0.0000
2.4822 1.4331 4.0534
Re Pa Th Os
1 1 1 1
Direct
0.7500 0.7500 0.7500
0.5000 0.5000 0.5000
0.0000 0.0000 0.0000
0.2500 0.2500 0.2500
```



No. 2
An optimized crystal structure of TmPaReOs, computed with PBE-GGA.

Final energy ... -38.2 eV for the cell shown
Energy relative to the elements ... -0.136 eV/atom
Size of the total moment ... 0.00 μB per cell
Symmetry ... No. 216

```
TmPaReOs
1.0
4.8397 0.0000 0.0000
2.4198 4.1913 0.0000
2.4198 1.3971 3.9516
Tm Re Os Pa
1 1 1 1
Direct
0.2500 0.2500 0.2500
0.5000 0.5000 0.5000
0.0000 0.0000 0.0000
0.7500 0.7500 0.7500
```



No. 3
An optimized crystal structure of UPaReOs, computed with PBE-GGA.

Final energy ... -44.3 eV for the cell shown
Energy relative to the elements ... 0.044 eV/atom
Size of the total moment ... 1.75 μB per cell
Symmetry ... No. 216

```
UPaReOs
1.0
4.8348 0.0000 0.0000
2.4174 4.1870 0.0000
2.4174 1.3957 3.9476
U Re Pa Os
1 1 1 1
Direct
0.2500 0.2500 0.2500
0.0000 0.0000 0.0000
0.7500 0.7500 0.7500
0.5000 0.5000 0.5000
```



No. 4
An optimized crystal structure of ZrPaReOs, computed with PBE-GGA.

Final energy ... -42.5 eV for the cell shown
Energy relative to the elements ... -0.200 eV/atom
Size of the total moment ... 0.00 μB per cell
Symmetry ... No. 216

```
ZrPaReOs
1.0
-1.8768 1.3815 4.1738
0.1141 -2.9451 3.7636
2.8623 0.9658 3.7048
Zr Os Re Pa
1 1 1 1
Direct
0.7500 0.7500 0.7500
0.5000 0.5000 0.5000
0.0000 0.0000 0.0000
0.2500 0.2500 0.2500
```



no.,Fermi-level density of states (states/eV/f.u.)
1,3.8
2,3.2
3,7.0
4,2.4